{"formula": "K2Ca2Sn", "functional": "PBE", "state": "relaxed", "n_ef_per_ev_fu": 0.764, "spacegroup": "No. 127", "delta_e_f_mev_per_atom": -81, "lattice": [[8.332, 0.000, 0.000], [0.000, 8.332, 0.000], [0.000, 0.000, 6.824]], "species": ["K", "K", "K", "K", "Ca", "Ca", "Ca", "Ca", "Sn", "Sn"], "fractional_positions": [[0.181, 0.681, 0.500], [0.681, 0.819, 0.500], [0.819, 0.319, 0.500], [0.319, 0.181, 0.500], [0.336, 0.836, 0.000], [0.836, 0.664, 0.000], [0.664, 0.164, 0.000], [0.164, 0.336, 0.000], [0.000, 0.000, 0.000], [0.500, 0.500, 0.000]]}

=====

{"formula": "KCa2Sn2", "functional": "PBE", "state": "relaxed", "n_ef_per_ev_fu": 2.029, "spacegroup": "No. 127", "delta_e_f_mev_per_atom": -475, "e_above_lowest_polymorph_mev_per_atom": 0, "lattice": [[9.668, 0.000, 0.000], [0.000, 9.668, 0.000], [0.000, 0.000, 3.432]], "species": ["K", "K", "Ca", "Ca", "Ca", "Ca", "Sn", "Sn", "Sn", "Sn"], "fractional_positions": [[0.000, 0.000, 0.000], [0.500, 0.500, 0.000], [0.375, 0.875, 0.000], [0.875, 0.625, 0.000], [0.625, 0.125, 0.000], [0.125, 0.375, 0.000], [0.172, 0.672, 0.500], [0.672, 0.828, 0.500], [0.828, 0.328, 0.500], [0.328, 0.172, 0.500]]}

=====

{"formula": "K3CaSn8", "functional": "PBE", "state": "relaxed", "n_ef_per_ev_fu": 11.350, "spacegroup": "No. 160", "delta_e_f_mev_per_atom": -231, "lattice": [[6.563, 0.000, 0.000], [3.281, 5.683, 0.000], [3.281, 1.894, 10.102]], "species": ["K", "K", "K", "Ca", "Sn", "Sn", "Sn", "Sn", "Sn", "Sn", "Sn", "Sn"], "fractional_positions": [[0.375, 0.375, 0.876], [0.002, 0.002, 0.995], [0.498, 0.498, 0.507], [0.876, 0.876, 0.373], [0.930, 0.437, 0.196], [0.448, 0.936, 0.679], [0.437, 0.437, 0.196], [0.936, 0.936, 0.679], [0.187, 0.187, 0.438], [0.687, 0.687, 0.938], [0.437, 0.930, 0.196], [0.936, 0.448, 0.679]]}